# 1
KCa2Cd | GGA-PBEsol | relaxed

Output
DFT total energy, eV/atom: -1.754
Theoretical density, g cm⁻³: 2.5

Cell: 3.8368 3.8368 10.4138 Å, 90.00 90.00 90.00°
Fractional positions:
1 Cd 0.5000 0.5000 0.0000
2 Ca 0.0000 0.0000 0.1720
3 Ca 0.0000 0.0000 0.8280
4 K 0.5000 0.5000 0.5000


# 2
SmGa | GGA-PBEsol | relaxed

Output
DFT total energy, eV/atom: -4.804
Theoretical density, g cm⁻³: 8.1

Cell: 5.5638 5.7249 5.7249 Å, 79.63 90.00 90.00°
Fractional positions:
1 Ga 0.5000 0.0000 0.0000
2 Ga 0.2500 0.6881 0.3119
3 Ga 0.7500 0.3119 0.6881
4 Ga 0.0000 0.0000 0.0000
5 Sm 0.2500 0.5212 0.8429
6 Sm 0.7500 0.8429 0.5212
7 Sm 0.2500 0.1571 0.4788
8 Sm 0.7500 0.4788 0.1571


# 3
KNiAg2 | GGA-PBEsol | relaxed

Output
DFT total energy, eV/atom: -2.954
Theoretical density, g cm⁻³: 7.2

Cell: 2.9255 2.9255 9.9079 Å, 81.51 81.51 60.00°
Each line ends with the local moment (μB).
Fractional positions:
1 Ag 0.2644 0.2644 0.2068  0.00
2 Ag 0.7356 0.7356 0.7932  0.00
3 K 0.5000 0.5000 0.5000  0.00
4 Ni 0.0000 0.0000 0.0000  0.28


# 4
Li4Sb2H6O3F10 | GGA-PBEsol | relaxed

Output
DFT total energy, eV/atom: -4.938
Theoretical density, g cm⁻³: 3.5

Cell: 5.3807 5.6315 16.1431 Å, 90.00 90.00 90.33°
Fractional positions:
1 Sb 0.7455 0.2189 0.8719
2 Sb 0.2545 0.7811 0.1281
3 Sb 0.7455 0.2189 0.6281
4 Sb 0.2545 0.7811 0.3719
5 F 0.5932 0.9116 0.5787
6 F 0.1470 0.7299 0.4899
7 F 0.9072 0.9556 0.1201
8 F 0.9072 0.9556 0.3799
9 F 0.5560 0.5853 0.4210
10 F 0.9350 0.5628 0.8769
11 F 0.0928 0.0444 0.6201
12 F 0.4440 0.4147 0.5790
13 F 0.0928 0.0444 0.8799
14 F 0.9350 0.5628 0.6231
15 F 0.5932 0.9116 0.9213
16 F 0.0650 0.4372 0.3769
17 F 0.0650 0.4372 0.1231
18 F 0.4068 0.0884 0.4213
19 F 0.5560 0.5853 0.0790
20 F 0.1470 0.7299 0.0101
21 F 0.8530 0.2701 0.9899
22 F 0.4440 0.4147 0.9210
23 F 0.8530 0.2701 0.5101
24 F 0.4068 0.0884 0.0787
25 Li 0.2643 0.7311 0.8844
26 Li 0.7356 0.2689 0.1156
27 Li 0.2241 0.3162 0.0124
28 Li 0.7759 0.6838 0.9876
29 Li 0.7356 0.2689 0.3844
30 Li 0.2241 0.3162 0.4876
31 Li 0.7759 0.6838 0.5124
32 Li 0.2643 0.7311 0.6156
33 O 0.3135 0.6937 0.7500
34 O 0.7785 0.8083 0.7500
35 O 0.6865 0.3063 0.2500
36 O 0.2215 0.1917 0.2500
37 O 0.3006 0.2282 0.7500
38 O 0.6994 0.7718 0.2500
39 H 0.6969 0.4854 0.2500
40 H 0.7720 0.8539 0.2007
41 H 0.7720 0.8539 0.2993
42 H 0.3031 0.5146 0.7500
43 H 0.2280 0.1461 0.7993
44 H 0.8573 0.7302 0.7988
45 H 0.1427 0.2698 0.2012
46 H 0.2280 0.1461 0.7007
47 H 0.4976 0.7352 0.7500
48 H 0.1427 0.2698 0.2988
49 H 0.8573 0.7302 0.7012
50 H 0.5024 0.2648 0.2500


# 5
TaCSe2 | GGA-PBEsol | relaxed

Output
DFT total energy, eV/atom: -6.412
Theoretical density, g cm⁻³: 8.1
ΔE_f (raw), eV per atom: 1.0623

Cell: 5.4673 6.1507 5.4673 Å, 63.61 90.00 116.39°
Fractional positions:
1 Se 0.8750 0.2500 0.5653
2 Se 0.3750 0.2500 0.1847
3 Se 0.1847 0.7500 0.8750
4 Se 0.5653 0.7500 0.3750
5 Ta 0.0000 0.0000 0.0000
6 Ta 0.7500 0.5000 0.7500
7 C 0.2500 0.5000 0.2500
8 C 0.5000 0.0000 0.5000


# 6
NaCd3Mo | GGA-PBEsol | relaxed

Output
DFT total energy, eV/atom: -1.894
Theoretical density, g cm⁻³: 6.8

Cell: 4.8004 4.8004 4.8004 Å, 90.00 90.00 90.00°
Each line ends with the local moment (μB).
Fractional positions:
1 Mo 0.5000 0.5000 0.5000  2.29
2 Cd 0.0000 0.5000 0.0000  -0.05
3 Cd 0.5000 0.0000 0.0000  -0.05
4 Cd 0.0000 0.0000 0.5000  -0.05
5 Na 0.0000 0.0000 0.0000  -0.01


# 7
YNiCl3 | GGA-PBEsol | relaxed

Output
DFT total energy, eV/atom: -4.552
Theoretical density, g cm⁻³: 3.0
ΔE_f (raw), eV per atom: -0.7509

Cell: 5.2002 5.2002 5.2002 Å, 90.00 90.00 90.00°
Each line ends with the local moment (μB).
Fractional positions:
1 Y 0.0000 0.0000 0.0000  -0.01
2 Cl 0.5000 0.0000 0.0000  0.02
3 Cl 0.0000 0.5000 0.0000  0.02
4 Cl 0.0000 0.0000 0.5000  0.02
5 Ni 0.5000 0.5000 0.5000  1.25


# 8
YInAg4 | GGA-PBEsol | relaxed

Output
DFT total energy, eV/atom: -4.113
Theoretical density, g cm⁻³: 9.1

Cell: 5.4699 5.4699 5.4699 Å, 60.00 60.00 60.00°
Fractional positions:
1 In 0.7500 0.7500 0.7500
2 Ag 0.3750 0.8749 0.3750
3 Ag 0.3750 0.3750 0.8749
4 Ag 0.8749 0.3750 0.3750
5 Ag 0.3750 0.3750 0.3750
6 Y 0.0000 0.0000 0.0000


# 9
Be3Ag | GGA-PBEsol | relaxed

Output
DFT total energy, eV/atom: -3.717
Theoretical density, g cm⁻³: 5.5

Cell: 2.7251 2.7251 5.4812 Å, 90.00 90.00 90.00°
Fractional positions:
1 Be 0.0000 0.0000 0.5000
2 Be 0.5000 0.5000 0.2917
3 Be 0.5000 0.5000 0.7083
4 Ag 0.0000 0.0000 0.0000


# 10
CeB2Pt2C | GGA-PBEsol | relaxed

Output
DFT total energy, eV/atom: -8.016
Theoretical density, g cm⁻³: 12.2

Cell: 3.7741 3.7741 6.0136 Å, 108.29 108.29 90.00°
Each line ends with the local moment (μB).
Fractional positions:
1 Pt 0.2500 0.7500 0.5000  0.13
2 Pt 0.7500 0.2500 0.5000  0.00
3 Ce 0.5000 0.5000 0.0000  0.00
4 B 0.1380 0.1380 0.2760  0.00
5 B 0.8620 0.8620 0.7240  0.00
6 C 0.0000 0.0000 0.0000  0.00


# 11
TmAl3 | GGA-PBEsol | relaxed

Output
DFT total energy, eV/atom: -4.707
Theoretical density, g cm⁻³: 5.6

Cell: 4.6020 6.1012 6.1012 Å, 120.00 90.00 90.00°
Fractional positions:
1 Tm 0.7500 0.3333 0.6667
2 Tm 0.2500 0.6667 0.3333
3 Al 0.2500 0.1510 0.3020
4 Al 0.7500 0.8490 0.1510
5 Al 0.2500 0.1510 0.8490
6 Al 0.7500 0.3020 0.1510
7 Al 0.7500 0.8490 0.6980
8 Al 0.2500 0.6980 0.8490


# 12
LaPb2Br | GGA-PBEsol | relaxed

Output
DFT total energy, eV/atom: -4.250
Theoretical density, g cm⁻³: 8.9
ΔE_f (raw), eV per atom: -0.4467

Cell: 3.7851 5.5972 5.5972 Å, 90.00 90.00 90.00°
Fractional positions:
1 Pb 0.0000 0.5000 0.0000
2 Pb 0.0000 0.0000 0.5000
3 Br 0.5000 0.5000 0.5000
4 La 0.5000 0.0000 0.0000


# 13
LaCuO2 | GGA-PBEsol | relaxed

Output
DFT total energy, eV/atom: -5.924
Theoretical density, g cm⁻³: 6.6
ΔE_f (raw), eV per atom: -0.8795

Cell: 3.3349 3.3349 6.4608 Å, 75.04 75.04 60.00°
Each line ends with the local moment (μB).
Fractional positions:
1 O 0.8830 0.8830 0.3511  0.24
2 O 0.1170 0.1170 0.6489  0.24
3 La 0.0000 0.0000 0.0000  0.06
4 Cu 0.5000 0.5000 0.5000  0.61


# 14
InTeI2N | GGA-PBEsol | relaxed

Output
DFT total energy, eV/atom: -3.166
Theoretical density, g cm⁻³: 6.9
ΔE_f (raw), eV per atom: 0.5482

Cell: 4.7451 5.0928 5.0928 Å, 90.00 90.00 90.00°
Fractional positions:
1 I 0.0000 0.0000 0.5000
2 I 0.0000 0.5000 0.0000
3 Te 0.5000 0.0000 0.0000
4 N 0.0000 0.0000 0.0000
5 In 0.5000 0.5000 0.5000


# 15
MgAlSi4 | GGA-PBEsol | relaxed

Output
DFT total energy, eV/atom: -4.613
Theoretical density, g cm⁻³: 2.9
ΔE_f (raw), eV per atom: 0.1861

Cell: 5.1001 5.1001 5.1001 Å, 60.00 60.00 60.00°
Fractional positions:
1 Mg 0.0000 0.0000 0.0000
2 Si 0.3753 0.3753 0.8742
3 Si 0.8742 0.3753 0.3753
4 Si 0.3753 0.8742 0.3753
5 Si 0.3753 0.3753 0.3753
6 Al 0.7500 0.7500 0.7500


# 16
ZrMnNi | GGA-PBEsol | relaxed

Output
DFT total energy, eV/atom: -8.631
Theoretical density, g cm⁻³: 8.3

Cell: 4.8037 4.9229 7.9036 Å, 90.00 90.00 119.20°
Fractional positions:
1 Ni 0.3296 0.1611 0.5000
2 Ni 0.8315 0.1611 0.5000
3 Ni 0.1753 0.3505 0.0000
4 Ni 0.8326 0.6653 0.5000
5 Zr 0.3350 0.6700 0.3112
6 Zr 0.6652 0.3304 0.8104
7 Zr 0.3350 0.6700 0.6888
8 Zr 0.6652 0.3304 0.1896
9 Mn 0.9944 0.9888 0.2425
10 Mn 0.9944 0.9888 0.7575
11 Mn 0.1736 0.8432 0.0000
12 Mn 0.6697 0.8432 0.0000


# 17
CoNiRh2 | GGA-PBEsol | relaxed

Output
DFT total energy, eV/atom: -7.470
Theoretical density, g cm⁻³: 11.0

Cell: 2.5987 4.4176 4.5190 Å, 99.67 90.00 107.11°
Each line ends with the local moment (μB).
Fractional positions:
1 Rh 0.2485 0.4970 0.2493  0.38
2 Rh 0.7515 0.5030 0.7507  0.38
3 Ni 0.0000 0.0000 0.5000  0.71
4 Co 0.5000 0.0000 0.0000  1.78


# 18
TmGaAu | GGA-PBEsol | relaxed

Output
DFT total energy, eV/atom: -4.891
Theoretical density, g cm⁻³: 12.4

Cell: 4.3975 5.5670 5.6492 Å, 75.88 67.09 66.74°
Fractional positions:
1 Ga 0.8420 0.2113 0.1046
2 Ga 0.1580 0.7887 0.8954
3 Tm 0.4618 0.7784 0.2981
4 Tm 0.5382 0.2216 0.7019
5 Au 0.1761 0.3615 0.2863
6 Au 0.8239 0.6385 0.7137


# 19
MgMn2Si | GGA-PBEsol | relaxed

Output
DFT total energy, eV/atom: -6.741
Theoretical density, g cm⁻³: 5.1
ΔE_f (raw), eV per atom: 0.0051

Cell: 2.7030 2.7030 7.2447 Å, 90.00 90.00 90.00°
Each line ends with the local moment (μB).
Fractional positions:
1 Mn 0.0000 0.0000 0.2087  2.27
2 Mn 0.0000 0.0000 0.7913  2.27
3 Si 0.5000 0.5000 0.0000  -0.07
4 Mg 0.5000 0.5000 0.5000  -0.02


# 20
Ni5Mo12As18 | GGA-PBEsol | relaxed

Output
DFT total energy, eV/atom: -7.858
Theoretical density, g cm⁻³: 8.5

Cell: 3.3055 6.6960 25.4099 Å, 88.45 86.27 75.71°
Fractional positions:
1 Mo 0.8779 0.9530 0.2911
2 Mo 0.7799 0.4018 0.0383
3 Mo 0.5500 0.2728 0.6272
4 Mo 0.4500 0.7272 0.3728
5 Mo 0.1221 0.0470 0.7089
6 Mo 0.7809 0.8954 0.5427
7 Mo 0.1060 0.5814 0.2065
8 Mo 0.5447 0.7909 0.1196
9 Mo 0.4553 0.2091 0.8804
10 Mo 0.8940 0.4186 0.7935
11 Mo 0.2191 0.1046 0.4573
12 Mo 0.2201 0.5982 0.9617
13 Ni 0.6662 0.3392 0.3285
14 Ni 0.3244 0.1849 0.1662
15 Ni 0.3338 0.6608 0.6715
16 Ni 0.0000 0.5000 0.5000
17 Ni 0.6756 0.8151 0.8338
18 As 0.7327 0.8910 0.6436
19 As 0.1973 0.4937 0.1117
20 As 0.8721 0.8086 0.4471
21 As 0.5454 0.1256 0.7836
22 As 0.4068 0.2029 0.9836
23 As 0.2581 0.7143 0.7694
24 As 0.8027 0.5063 0.8883
25 As 0.4546 0.8744 0.2164
26 As 0.9069 0.0858 0.1004
27 As 0.4166 0.6006 0.5662
28 As 0.0931 0.9142 0.8996
29 As 0.2673 0.1090 0.3564
30 As 0.0590 0.5744 0.3076
31 As 0.7419 0.2857 0.2306
32 As 0.9410 0.4256 0.6924
33 As 0.5834 0.3994 0.4338
34 As 0.1279 0.1914 0.5529
35 As 0.5932 0.7971 0.0164


# 21
Sb2PbSe | GGA-PBEsol | relaxed

Output
DFT total energy, eV/atom: -4.435
Theoretical density, g cm⁻³: 7.5
ΔE_f (raw), eV per atom: -0.1937

Cell: 4.2883 4.2883 7.7778 Å, 74.00 74.00 60.00°
Fractional positions:
1 Se 0.5048 0.5048 0.4856
2 Sb 0.7465 0.7465 0.7605
3 Sb 0.0097 0.0097 0.9708
4 Pb 0.2390 0.2390 0.2831


# 22
KSCl2F | GGA-PBEsol | relaxed

Output
DFT total energy, eV/atom: -2.836
Theoretical density, g cm⁻³: 2.4
ΔE_f (raw), eV per atom: -0.5441

Cell: 3.5871 5.6221 5.6221 Å, 90.00 90.00 90.00°
Fractional positions:
1 Cl 0.0000 0.0000 0.5000
2 Cl 0.0000 0.5000 0.0000
3 F 0.0000 0.0000 0.0000
4 S 0.5000 0.0000 0.0000
5 K 0.5000 0.5000 0.5000


# 23
Al3Ag4 | GGA-PBEsol | relaxed

Output
DFT total energy, eV/atom: -3.678
Theoretical density, g cm⁻³: 7.5

Cell: 2.8762 2.8762 13.8837 Å, 95.95 95.95 90.00°
Fractional positions:
1 Al 0.5716 0.5716 0.1431
2 Al 0.1439 0.1439 0.2878
3 Al 0.2854 0.2854 0.5708
4 Ag 0.4277 0.4277 0.8555
5 Ag 0.8530 0.8530 0.7060
6 Ag 0.7159 0.7159 0.4319
7 Ag 0.0024 0.0024 0.0049


# 24
MoW2Br | GGA-PBEsol | relaxed

Output
DFT total energy, eV/atom: -9.018
Theoretical density, g cm⁻³: 13.9
ΔE_f (raw), eV per atom: 1.2949

Cell: 3.7404 3.7404 4.6459 Å, 90.00 90.00 90.00°
Fractional positions:
1 W 0.0000 0.5000 0.0000
2 W 0.5000 0.0000 0.0000
3 Br 0.5000 0.5000 0.5000
4 Mo 0.0000 0.0000 0.5000